# 1
Compound: Dy12TlIn3
Source: Alexandria
Functional: PBE-GGA
Structure: optimized geometry

As for the total energy: -69.7 eV per cell. For the formation energy, the calculation gives -0.245 eV per atom. Its volume is 28.376 Å³ per atom. The value obtained for the total magnetic moment is 1.187 Bohr magnetons per cell.

The structure belongs to space group P4/mmm (No. 123); the cell edges are 4.8394, 4.8394 and 19.3855 Å and the angles 90.00°, 90.00° and 90.00°. Symmetry generates all atoms from Dy at (0.0000, 0.0000, 0.0000), Dy at (0.0000, 0.0000, 0.2498), Dy at (0.0000, 0.0000, 0.5000), Dy at (0.0000, 0.5000, 0.1250), Dy at (0.0000, 0.5000, 0.3742), Tl at (0.5000, 0.5000, 0.5000), In at (0.5000, 0.5000, 0.0000) and In at (0.5000, 0.5000, 0.2499).



# 2
Compound: Tb2PmIn3
Source: Alexandria
Functional: PBE-GGA
Structure: optimized geometry

As for the total energy: -25.1 eV per cell. For the formation energy, the calculation gives -0.484 eV per atom. Its volume is 27.405 Å³ per atom. The value obtained for the total magnetic moment is 0.000 Bohr magnetons per cell.

The structure belongs to space group P4/mmm (No. 123); the cell edges are 3.7818, 3.7818 and 11.4973 Å and the angles 90.00°, 90.00° and 90.00°. Symmetry generates all atoms from Tb at (0.0000, 0.0000, 0.1634), Pm at (0.0000, 0.0000, 0.5000), In at (0.5000, 0.5000, 0.0000) and In at (0.5000, 0.5000, 0.3264).



# 3
Compound: K2HfGa
Source: Alexandria
Functional: PBE-GGA
Structure: optimized geometry

As for the total energy: -47.5 eV per cell. For the formation energy, the calculation gives 0.823 eV per atom. Its volume is 53.384 Å³ per atom. The value obtained for the total magnetic moment is 0.000 Bohr magnetons per cell.

The structure belongs to space group I-42d (No. 122); the cell edges are 12.8394, 12.8394 and 5.1814 Å and the angles 90.00°, 90.00° and 90.00°. Symmetry generates all atoms from K at (0.0851, 0.7500, 0.1250), Hf at (0.0000, 0.0000, 0.5000) and Ga at (0.0000, 0.0000, 0.0000).



# 4
Compound: Tb4Pr2C
Source: Alexandria
Functional: PBE-GGA
Structure: optimized geometry

As for the total energy: -114.1 eV per cell. For the formation energy, the calculation gives -0.102 eV per atom. Its volume is 29.575 Å³ per atom. The value obtained for the total magnetic moment is 0.001 Bohr magnetons per cell.

The structure belongs to space group R-3m (No. 166, hexagonal axes); the cell edges are 3.6221, 3.6221 and 54.6611 Å and the angles 90.00°, 90.00° and 120.00°. Symmetry generates all atoms from Tb at (0.0000, 0.0000, 0.1402), Tb at (0.0000, 0.0000, 0.3582), Pr at (0.0000, 0.0000, 0.2454) and C at (0.0000, 0.0000, 0.0000).



Copy entry 3 word for word.
Compound: K2HfGa
Source: Alexandria
Functional: PBE-GGA
Structure: optimized geometry

As for the total energy: -47.5 eV per cell. For the formation energy, the calculation gives 0.823 eV per atom. Its volume is 53.384 Å³ per atom. The value obtained for the total magnetic moment is 0.000 Bohr magnetons per cell.

The structure belongs to space group I-42d (No. 122); the cell edges are 12.8394, 12.8394 and 5.1814 Å and the angles 90.00°, 90.00° and 90.00°. Symmetry generates all atoms from K at (0.0851, 0.7500, 0.1250), Hf at (0.0000, 0.0000, 0.5000) and Ga at (0.0000, 0.0000, 0.0000).



Question: What is the total magnetic moment in the fourth record?
Answer: 0.001 Bohr magnetons per cell